Arrangement A

A plane-wave DFT calculation with PBEsol was carried out for crystalline Ba2ReCl at its relaxed geometry.

Unit cell a=5.638 b=5.638 c=3.426 alpha=90.00 beta=90.00 gamma=90.00
Space group P4/mmm (No. 123)
Inequivalent atoms, fractional coordinates:
Ba 0.000 0.500 0.000 (multiplicity 2)
Re 0.000 0.000 0.500 (multiplicity 1)
Cl 0.500 0.500 0.500 (multiplicity 1)

Summary:
**Crystal system**: tetragonal
**Density of states at the Fermi level**: 0.77 states/eV per atom
**Volume**: 27.221 Å³/atom

=====

Arrangement B

A plane-wave DFT calculation with PBEsol was carried out for crystalline Ba2ReCl at its relaxed geometry.

Unit cell a=4.439 b=4.439 c=11.999 alpha=90.00 beta=90.00 gamma=90.00
Space group I-4m2 (No. 119)
Inequivalent atoms, fractional coordinates:
Ba 0.000 0.000 0.000 (multiplicity 2)
Ba 0.000 0.500 0.250 (multiplicity 2)
Re 0.000 0.500 0.750 (multiplicity 2)
Cl 0.000 0.000 0.500 (multiplicity 2)

Summary:
**Crystal system**: tetragonal
**Density of states at the Fermi level**: 1.19 states/eV per atom
**Volume**: 29.555 Å³/atom

=====

Compare the structures above. Which one is the least stable? arrangement B is.